No. 1
Below is crystalline NbP2BrCl at its relaxed geometry, with properties calculated at the PBE-GGA level.

The structure in POSCAR format:
```
NbP2BrCl
1.0
4.9120 0.0000 0.0000
0.0000 4.9120 0.0000
0.0000 0.0000 4.8384
Nb P Br Cl
1 2 1 1
Direct
0.0000 0.0000 0.0000
0.5000 0.0000 0.0000
0.0000 0.5000 0.0000
0.5000 0.5000 0.5000
0.0000 0.0000 0.5000
```

Properties
E_form (uncorrected) ... 0.097 eV per atom
Space group ... P4/mmm, No. 123
Raw total energy ... -4.78 eV per atom


No. 2
Below is crystalline NbP2BrCl at its relaxed geometry, with properties calculated at the PBE-GGA level.

The structure in POSCAR format:
```
NbP2BrCl
1.0
-3.6766 -0.7189 3.0547
3.1180 -1.3692 3.4306
0.3530 4.5528 1.4963
P Nb Br Cl
2 1 1 1
Direct
0.0000 0.5000 0.0000
0.5000 0.0000 0.0000
0.5000 0.5000 0.5000
0.0000 0.0000 0.0000
0.0000 0.0000 0.5000
```

Properties
E_form (uncorrected) ... 1.406 eV per atom
Space group ... P4/mmm, No. 123
Raw total energy ... -3.48 eV per atom


No. 3
Below is crystalline NbPBrCl2 at its relaxed geometry, with properties calculated at the PBE-GGA level.

The structure in POSCAR format:
```
NbPBrCl2
1.0
-0.6566 4.7537 -1.1386
-4.4862 -1.0422 -1.7642
-2.0574 0.8488 4.7304
Br Cl Nb P
1 2 1 1
Direct
0.0000 0.0000 0.0000
0.5000 0.0000 0.0000
0.0000 0.5000 0.0000
0.5000 0.5000 0.5000
0.0000 0.0000 0.5000
```

Properties
E_form (uncorrected) ... 1.200 eV per atom
Space group ... P4/mmm, No. 123
Raw total energy ... -2.97 eV per atom


No. 4
Below is crystalline Nb2PbBrCl at its relaxed geometry, with properties calculated at the PBE-GGA level.

The structure in POSCAR format:
```
Nb2PbBrCl
1.0
-4.9027 0.7153 2.5965
0.7758 -4.5780 2.7261
2.5698 2.8564 4.0654
Nb Br Cl Pb
2 1 1 1
Direct
0.0000 0.0000 0.5000
0.5000 0.0000 0.0000
0.5000 0.5000 0.5000
0.0000 0.5000 0.0000
0.0000 0.0000 0.0000
```

Properties
E_form (uncorrected) ... 1.300 eV per atom
Space group ... P4/mmm, No. 123
Raw total energy ... -4.17 eV per atom


No. 5
Below is crystalline Rb2NbBr5Cl at its relaxed geometry, with properties calculated at the PBE-GGA level.

The structure in POSCAR format:
```
Rb2NbBr5Cl
1.0
7.5858 -0.0363 -0.0527
-3.6338 6.6589 0.0527
-3.6338 -2.3220 6.2412
Rb Cl Br Nb
2 1 5 1
Direct
0.5000 0.7486 0.2486
0.5000 0.2486 0.7486
0.0000 0.7682 0.7682
0.5215 0.7595 0.7595
0.0000 0.7595 0.2380
0.0000 0.2380 0.7595
0.4785 0.2380 0.2380
0.0000 0.2425 0.2425
0.0000 0.9972 0.9972
```

Properties
E_form (uncorrected) ... -1.347 eV per atom
Space group ... I4mm, No. 107
Raw total energy ... -3.82 eV per atom


No. 6
Below is crystalline RbNbBrCl3 at its relaxed geometry, with properties calculated at the PBE-GGA level.

The structure in POSCAR format:
```
RbNbBrCl3
1.0
5.4054 -0.4531 0.0000
0.6710 6.7871 0.0000
0.3355 3.3935 11.9961
Br Nb Rb Cl
2 2 2 6
Direct
0.7500 0.3033 0.3934
0.2500 0.6967 0.6066
0.7500 0.0250 0.9500
0.2500 0.9750 0.0500
0.7500 0.7801 0.4398
0.2500 0.2199 0.5602
0.5920 0.2075 0.0742
0.7500 0.1228 0.7543
0.4080 0.7925 0.9258
0.0920 0.2817 0.9258
0.2500 0.8772 0.2457
0.9080 0.7183 0.0742
```

Properties
E_form (uncorrected) ... -1.312 eV per atom
Space group ... C2/c, No. 15
Raw total energy ... -4.35 eV per atom


No. 7
Below is crystalline NbSeBr2Cl at its relaxed geometry, with properties calculated at the PBE-GGA level.

The structure in POSCAR format:
```
NbSeBr2Cl
1.0
5.0171 0.0000 0.0000
0.0000 5.0171 0.0000
0.0000 0.0000 5.4426
Nb Br Cl Se
1 2 1 1
Direct
0.5000 0.5000 0.5000
0.5000 0.0000 0.0000
0.0000 0.5000 0.0000
0.0000 0.0000 0.0000
0.0000 0.0000 0.5000
```

Properties
E_form (uncorrected) ... 1.013 eV per atom
Space group ... P4/mmm, No. 123
Raw total energy ... -2.74 eV per atom


No. 8
Below is crystalline NbSeBr2Cl at its relaxed geometry, with properties calculated at the PBE-GGA level.

The structure in POSCAR format:
```
NbSeBr2Cl
1.0
-2.9940 4.1978 0.1575
-4.0862 -2.8655 -1.3046
-0.9470 -0.8574 4.8492
Nb Cl Br Se
1 1 2 1
Direct
0.0000 0.0000 0.0000
0.5000 0.5000 0.5000
0.5000 0.0000 0.0000
0.0000 0.5000 0.0000
0.0000 0.0000 0.5000
```

Properties
E_form (uncorrected) ... -0.293 eV per atom
Space group ... P4/mmm, No. 123
Raw total energy ... -4.04 eV per atom


> E_form (uncorrected) of number 7 (NbSeBr2Cl)?

1.013 eV per atom


> Look up the E_form (uncorrected) of the sixth one.

-1.312 eV per atom


Repeat the sixth record exactly.
Below is crystalline RbNbBrCl3 at its relaxed geometry, with properties calculated at the PBE-GGA level.

The structure in POSCAR format:
```
RbNbBrCl3
1.0
5.4054 -0.4531 0.0000
0.6710 6.7871 0.0000
0.3355 3.3935 11.9961
Br Nb Rb Cl
2 2 2 6
Direct
0.7500 0.3033 0.3934
0.2500 0.6967 0.6066
0.7500 0.0250 0.9500
0.2500 0.9750 0.0500
0.7500 0.7801 0.4398
0.2500 0.2199 0.5602
0.5920 0.2075 0.0742
0.7500 0.1228 0.7543
0.4080 0.7925 0.9258
0.0920 0.2817 0.9258
0.2500 0.8772 0.2457
0.9080 0.7183 0.0742
```

Properties
E_form (uncorrected) ... -1.312 eV per atom
Space group ... C2/c, No. 15
Raw total energy ... -4.35 eV per atom